[1]
# PBE Sr4Br, relaxed
# - Energy above the lowest structure with this stoichiometry: 346 meV/atom
# - ΔE_f (raw): -146 meV per atom
data_Sr4Br
_symmetry_space_group_name_H-M 'I 4/m m m'
_symmetry_Int_Tables_number 139
_symmetry_space_group_name_Hall '-I 4 2'
_cell_length_a 4.875
_cell_length_b 4.875
_cell_length_c 21.832
_cell_angle_alpha 90.00
_cell_angle_beta 90.00
_cell_angle_gamma 90.00
loop_
_atom_site_label
_atom_site_type_symbol
_atom_site_fract_x
_atom_site_fract_y
_atom_site_fract_z
Sr1 Sr 0.000 0.000 0.093
Sr2 Sr 0.000 0.500 0.250
Br1 Br 0.000 0.000 0.500



[2]
# PBE SrBr3, relaxed
# - ΔE_f (raw): -1279 meV per atom
data_SrBr3
_symmetry_space_group_name_H-M 'P m -3 m'
_symmetry_Int_Tables_number 221
_symmetry_space_group_name_Hall '-P 4 2 3'
_cell_length_a 6.071
_cell_length_b 6.071
_cell_length_c 6.071
_cell_angle_alpha 90.00
_cell_angle_beta 90.00
_cell_angle_gamma 90.00
loop_
_atom_site_label
_atom_site_type_symbol
_atom_site_fract_x
_atom_site_fract_y
_atom_site_fract_z
Sr1 Sr 0.000 0.000 0.000
Br1 Br 0.000 0.000 0.500



[3]
# PBE Sr4Br, relaxed
# - Energy above the lowest structure with this stoichiometry: 38 meV/atom
# - ΔE_f (raw): -454 meV per atom
data_Sr4Br
_symmetry_space_group_name_H-M 'P m -3 m'
_symmetry_Int_Tables_number 221
_symmetry_space_group_name_Hall '-P 4 2 3'
_cell_length_a 6.318
_cell_length_b 6.318
_cell_length_c 6.318
_cell_angle_alpha 90.00
_cell_angle_beta 90.00
_cell_angle_gamma 90.00
loop_
_atom_site_label
_atom_site_type_symbol
_atom_site_fract_x
_atom_site_fract_y
_atom_site_fract_z
Sr1 Sr 0.000 0.000 0.000
Sr2 Sr 0.000 0.500 0.500
Br1 Br 0.500 0.500 0.500



Which of these has the highest ΔE_f (raw)? number 1